First-principles (PBE) data for a relaxed structure of Zr2MnP, as listed in Alexandria.

Results
Its symmetry is Cmmm (65). As for the energy relative to the elements: -0.457 eV/atom.

```
8
Lattice="5.833 0.000 0.000 0.000 6.828 0.000 0.000 0.000 3.408" Properties=species:S:1:pos:R:3 pbc="T T T"
Zr 1.458 1.707 0.000
Zr 1.458 5.121 0.000
Zr 4.375 1.707 0.000
Zr 4.375 5.121 0.000
Mn 0.000 0.000 1.704
Mn 2.917 3.414 1.704
P 0.000 3.414 1.704
P 2.917 0.000 1.704
```



First-principles (PBE) data for a relaxed structure of Ti2VSnN, as listed in Alexandria.

Results
Its symmetry is P4/mmm (123). The formation energy from raw total energies is -0.761 eV/atom.

```
5
Lattice="4.302 0.000 0.000 0.000 4.302 0.000 0.000 0.000 3.874" Properties=species:S:1:pos:R:3 pbc="T T T"
Ti 0.000 2.151 0.000
Ti 2.151 0.000 0.000
V 0.000 0.000 1.937
Sn 2.151 2.151 1.937
N 0.000 0.000 0.000
```



First-principles (PBE) data for a relaxed structure of Cd2WSe, as listed in Alexandria.

Results
Its symmetry is C2/m (12). The formation energy from raw total energies is 0.400 eV/atom.

```
8
Lattice="14.773 0.000 0.000 0.000 2.940 0.000 -1.170 0.000 3.999" Properties=species:S:1:pos:R:3 pbc="T T T"
Cd 2.544 0.000 0.748
Cd 3.672 1.470 3.251
Cd 9.930 1.470 0.748
Cd 11.058 0.000 3.251
W 0.000 1.470 0.000
W 7.386 0.000 0.000
Se -0.585 0.000 1.999
Se 6.801 1.470 1.999
```



First-principles (PBE) data for a relaxed structure of LaNd9Sm2, as listed in Alexandria.

Results
Its symmetry is P4/mmm (123). As for the energy relative to the elements: 0.014 eV/atom.

```
12
Lattice="5.200 0.000 0.000 0.000 5.200 0.000 0.000 0.000 15.611" Properties=species:S:1:pos:R:3 pbc="T T T"
La 0.000 0.000 0.000
Nd 0.000 2.600 2.634
Nd 0.000 2.600 7.806
Nd 0.000 2.600 12.978
Nd 2.600 0.000 2.634
Nd 2.600 0.000 7.806
Nd 2.600 0.000 12.978
Nd 2.600 2.600 0.000
Nd 2.600 2.600 5.228
Nd 2.600 2.600 10.384
Sm 0.000 0.000 5.212
Sm 0.000 0.000 10.399
```



First-principles (PBE) data for a relaxed structure of Cd2PdAu9, as listed in Alexandria.

Results
Its symmetry is P4/mmm (123). As for the energy relative to the elements: -0.110 eV/atom.

```
12
Lattice="4.152 0.000 0.000 0.000 4.152 0.000 0.000 0.000 12.659" Properties=species:S:1:pos:R:3 pbc="T T T"
Cd 0.000 0.000 2.180
Cd 0.000 0.000 10.479
Pd 0.000 0.000 6.329
Au 0.000 2.076 0.000
Au 0.000 2.076 4.298
Au 0.000 2.076 8.361
Au 2.076 0.000 0.000
Au 2.076 0.000 4.298
Au 2.076 0.000 8.361
Au 2.076 2.076 2.149
Au 2.076 2.076 6.329
Au 2.076 2.076 10.510
```



First-principles (PBE) data for a relaxed structure of K2Te, as listed in Alexandria.

Results
Its symmetry is P-62m (189). The formation energy from raw total energies is -1.010 eV/atom.

```
9
Lattice="9.098 0.000 0.000 -4.549 7.879 0.000 0.000 0.000 5.206" Properties=species:S:1:pos:R:3 pbc="T T T"
K -1.168 2.023 0.000
K -2.659 4.606 2.603
K 2.335 0.000 0.000
K 1.889 3.272 2.603
K 5.319 0.000 2.603
K 3.381 5.856 0.000
Te 0.000 0.000 2.603
Te 0.000 5.253 0.000
Te 4.549 2.626 0.000
```



First-principles (PBE) data for a relaxed structure of ScAlGa2Pb, as listed in Alexandria.

Results
The energy relative to the lowest polymorph listed for this composition comes out at 0 meV/atom. Its symmetry is P4/mmm (123). As for the energy relative to the elements: 0.506 eV/atom.

```
5
Lattice="5.196 0.000 0.000 0.000 5.196 0.000 0.000 0.000 5.310" Properties=species:S:1:pos:R:3 pbc="T T T"
Sc 0.000 0.000 0.000
Al 0.000 0.000 2.655
Ga 0.000 2.598 0.000
Ga 2.598 0.000 0.000
Pb 2.598 2.598 2.655
```



First-principles (PBE) data for a relaxed structure of La9SmTh4, as listed in Alexandria.

Results
Its symmetry is P6_3/mmc (194). As for the energy relative to the elements: 0.117 eV/atom.

```
28
Lattice="10.250 0.000 0.000 -5.125 8.877 0.000 0.000 0.000 11.109" Properties=species:S:1:pos:R:3 pbc="T T T"
La -1.915 4.813 2.777
La 0.000 3.512 6.052
La 0.000 3.512 10.611
La -2.083 7.121 6.052
La -2.083 7.121 10.611
La 3.042 1.756 0.498
La 3.042 1.756 5.056
La 1.915 4.813 2.777
La 0.000 8.129 2.777
La 5.125 0.748 8.332
La 3.210 4.064 8.332
La 2.083 7.121 6.052
La 2.083 7.121 10.611
La 7.208 1.756 0.498
La 7.208 1.756 5.056
La 5.125 5.365 0.498
La 5.125 5.365 5.056
La 7.040 4.064 8.332
Sm 0.000 5.918 8.332
Sm 5.125 2.959 2.777
Th 0.000 0.000 0.000
Th 0.000 0.000 5.554
Th 0.000 1.975 2.777
Th -3.414 7.889 2.777
Th 1.711 0.988 8.332
Th 3.414 7.889 2.777
Th 8.539 0.988 8.332
Th 5.125 6.902 8.332
```



First-principles (PBE) data for a relaxed structure of Er4Sb2Os, as listed in Alexandria.

Results
Its symmetry is Pbam (55). The formation energy from raw total energies is -0.664 eV/atom.

```
14
Lattice="7.729 0.000 0.000 0.000 11.975 0.000 0.000 0.000 4.328" Properties=species:S:1:pos:R:3 pbc="T T T"
Er 1.025 2.391 0.000
Er 1.659 11.302 2.164
Er 2.206 5.315 2.164
Er 2.840 8.378 0.000
Er 4.889 3.596 0.000
Er 5.523 6.660 2.164
Er 6.070 0.673 2.164
Er 6.704 9.584 0.000
Sb 0.625 8.089 2.164
Sb 3.239 2.102 2.164
Sb 4.490 9.873 2.164
Sb 7.104 3.885 2.164
Os 0.000 0.000 0.000
Os 3.864 5.987 0.000
```



First-principles (PBE) data for a relaxed structure of SrNb2N, as listed in Alexandria.

Results
Its symmetry is Fd-3m (227). The formation energy from raw total energies is 0.003 eV/atom.

```
8
Lattice="0.000 4.615 4.615 4.615 0.000 4.615 4.615 4.615 0.000" Properties=species:S:1:pos:R:3 pbc="T T T"
Sr 1.154 1.154 1.154
Sr 8.076 8.076 8.076
Nb 4.615 2.307 2.307
Nb 2.307 4.615 2.307
Nb 2.307 2.307 4.615
Nb 4.615 4.615 4.615
N 3.461 3.461 3.461
N 5.769 5.769 5.769
```



First-principles (PBE) data for a relaxed structure of MnSnPHS, as listed in Alexandria.

Results
The energy relative to the lowest polymorph listed for this composition comes out at 43 meV/atom. Its symmetry is P1 (1).

```
5
Lattice="2.926 0.000 0.000 1.448 3.829 0.000 1.420 1.521 7.767" Properties=species:S:1:pos:R:3 pbc="T T T"
Mn 0.000 0.000 0.000
Sn 4.348 4.098 2.705
P 2.914 2.194 0.320
H 2.882 3.144 5.781
S 2.884 1.785 6.066
```



First-principles (PBE) data for a relaxed structure of CaBe2Ru, as listed in Alexandria.

Results
The energy relative to the lowest polymorph listed for this composition comes out at 298 meV/atom. Its symmetry is P4mm (99). As for the energy relative to the elements: 0.165 eV/atom.

```
4
Lattice="3.152 0.000 0.000 0.000 3.152 0.000 0.000 0.000 6.372" Properties=species:S:1:pos:R:3 pbc="T T T"
Ca 0.000 0.000 0.000
Be 0.000 0.000 2.828
Be 1.576 1.576 4.200
Ru 1.576 1.576 2.138
```



Record order is preserved below.
V: 17.0, 14.3, 21.7, 35.2, 18.2, 41.5, 28.7, 36.1, 28.6, 24.6, 17.4, 15.8 Å³ per atom